Here is a crystal of AlMoIr relaxed with PBEsol from Alexandria. Energies are from SCAN.

Computed properties:
V	14.61	Å³/atom
energy of formation from the pure elements	-292	meV per atom
SG	P3m1 (156)
calculated density	11.94	g cm⁻³

Unit cell a=2.7825 b=2.7825 c=6.5369 alpha=90.00 beta=90.00 gamma=120.00
Atoms (fractional coordinates):
Al1 0.0000 0.0000 0.9934
Ir1 0.3333 0.6667 0.6673
Mo1 0.6667 0.3333 0.3393

Here is a crystal of AlMoIr2Pt relaxed with PBEsol from Alexandria. Energies are from SCAN.

Computed properties:
V	16.96	Å³/atom
energy of formation from the pure elements	948	meV per atom
SG	P4/mmm (123)
calculated density	13.75	g cm⁻³

Unit cell a=4.3896 b=4.3896 c=4.4017 alpha=90.00 beta=90.00 gamma=90.00
Site moments in Bohr magnetons follow the coordinates.
Atoms (fractional coordinates):
Ir1 0.5000 0.0000 0.0000  0.02
Pt1 0.0000 0.0000 0.5000  0.10
Mo1 0.5000 0.5000 0.5000  2.81
Al1 0.0000 0.0000 0.0000  -0.01
Ir2 0.0000 0.5000 0.0000  0.02

Here is a crystal of AlIr2N relaxed with PBEsol from Alexandria. Energies are from SCAN.

Computed properties:
V	12.14	Å³/atom
raw formation energy	0.749	eV per atom
SG	Fm-3m (225)
calculated density	14.55	g cm⁻³

Unit cell a=4.0950 b=4.0950 c=4.0950 alpha=60.00 beta=60.00 gamma=60.00
Atoms (fractional coordinates):
N1 0.0000 0.0000 0.0000
Al1 0.5000 0.5000 0.5000
Ir1 0.7500 0.7500 0.7500
Ir2 0.2500 0.2500 0.2500

Number 1: total magnetization 0.0 μB per formula unit. Number 2: total magnetization 3.1 μB per formula unit. Number 3: total magnetization 0.0 μB per formula unit.